TbDyTcPd GGA-PBE relaxed; calculated total energy = -6.556 eV per atom; size of the total moment = 0.000 μB/atom; D(E_F) = 0.893 states/eV per atom
1.0
0.000 3.459 3.459
3.459 0.000 3.459
3.459 3.459 0.000
Tb Dy Tc Pd
1 1 1 1
direct
0.000 0.000 0.000
0.500 0.500 0.500
0.750 0.750 0.750
0.250 0.250 0.250